# 1
# HfCu2Sn (PBE-GGA, relaxed)
# - Total energy: -5.307 eV per atom
# - Total magnetic moment: 0.001 μB per cell
# - Space group: No. 216
data_HfCu2Sn
_chemical_formula_sum 'Hf1 Cu2 Sn1'
_cell_length_a 4.596
_cell_length_b 4.596
_cell_length_c 4.596
_cell_angle_alpha 60.00
_cell_angle_beta 60.00
_cell_angle_gamma 60.00
_space_group_name_H-M_alt 'P 1'
_space_group_IT_number 1
loop_
_space_group_symop_operation_xyz
'x,y,z'
loop_
_atom_site_label
_atom_site_type_symbol
_atom_site_fract_x
_atom_site_fract_y
_atom_site_fract_z
_atom_site_occupancy
Cu1 Cu 0.000 0.000 0.000 1
Cu2 Cu 0.750 0.750 0.750 1
Hf1 Hf 0.250 0.250 0.250 1
Sn1 Sn 0.500 0.500 0.500 1

# 2
# SrCuB (PBE-GGA, relaxed)
# - Total energy: -2.603 eV per atom
# - Polymorph energy (0 for the lowest one): 0.607 eV per atom
# - Space group: No. 216
data_SrCuB
_chemical_formula_sum 'Sr1 Cu1 B1'
_cell_length_a 4.721
_cell_length_b 4.721
_cell_length_c 4.721
_cell_angle_alpha 60.00
_cell_angle_beta 60.00
_cell_angle_gamma 60.00
_space_group_name_H-M_alt 'P 1'
_space_group_IT_number 1
loop_
_space_group_symop_operation_xyz
'x,y,z'
loop_
_atom_site_label
_atom_site_type_symbol
_atom_site_fract_x
_atom_site_fract_y
_atom_site_fract_z
_atom_site_occupancy
B1 B 0.250 0.250 0.250 1
Cu1 Cu 0.750 0.750 0.750 1
Sr1 Sr 0.000 0.000 0.000 1

# 3
# LaGd2Mg3Al2Tl (PBE-GGA, relaxed)
# - Total energy: -3.523 eV per atom
# - Total magnetic moment: 0.006 μB per cell
# - Space group: No. 38
data_LaGd2Mg3Al2Tl
_chemical_formula_sum 'La1 Gd2 Mg3 Al2 Tl1'
_cell_length_a 4.667
_cell_length_b 7.588
_cell_length_c 7.588
_cell_angle_alpha 120.75
_cell_angle_beta 90.00
_cell_angle_gamma 90.00
_space_group_name_H-M_alt 'P 1'
_space_group_IT_number 1
loop_
_space_group_symop_operation_xyz
'x,y,z'
loop_
_atom_site_label
_atom_site_type_symbol
_atom_site_fract_x
_atom_site_fract_y
_atom_site_fract_z
_atom_site_occupancy
Al1 Al 0.500 0.672 0.331 1
Al2 Al 0.500 0.331 0.672 1
Gd1 Gd 0.000 0.570 0.002 1
Gd2 Gd 0.000 0.002 0.570 1
La1 La 0.000 0.434 0.434 1
Mg1 Mg 0.500 0.999 0.247 1
Mg2 Mg 0.500 0.753 0.753 1
Mg3 Mg 0.500 0.247 0.999 1
Tl1 Tl 0.000 0.992 0.992 1

# 4
# Gd3In3NiAgIr (PBE-GGA, relaxed)
# - Total energy: -4.974 eV per atom
# - Total magnetic moment: 0.010 μB per cell
# - Space group: No. 174
data_Gd3In3NiAgIr
_chemical_formula_sum 'Gd3 In3 Ni1 Ag1 Ir1'
_cell_length_a 7.745
_cell_length_b 7.745
_cell_length_c 3.841
_cell_angle_alpha 90.00
_cell_angle_beta 90.00
_cell_angle_gamma 120.00
_space_group_name_H-M_alt 'P 1'
_space_group_IT_number 1
loop_
_space_group_symop_operation_xyz
'x,y,z'
loop_
_atom_site_label
_atom_site_type_symbol
_atom_site_fract_x
_atom_site_fract_y
_atom_site_fract_z
_atom_site_occupancy
Ag1 Ag 0.667 0.333 0.000 1
Gd1 Gd 0.753 0.061 0.500 1
Gd2 Gd 0.308 0.247 0.500 1
Gd3 Gd 0.939 0.692 0.500 1
In1 In 0.085 0.422 0.000 1
In2 In 0.578 0.663 0.000 1
In3 In 0.337 0.915 0.000 1
Ir1 Ir 0.000 0.000 0.000 1
Ni1 Ni 0.333 0.667 0.500 1

# 5
# AgTeO3 (PBE-GGA, relaxed)
# - Total energy: -4.867 eV per atom
# - Space group: No. 11
data_AgTeO3
_chemical_formula_sum 'Ag4 Te4 O12'
_cell_length_a 5.437
_cell_length_b 7.430
_cell_length_c 6.920
_cell_angle_alpha 90.00
_cell_angle_beta 101.55
_cell_angle_gamma 90.00
_space_group_name_H-M_alt 'P 1'
_space_group_IT_number 1
loop_
_space_group_symop_operation_xyz
'x,y,z'
loop_
_atom_site_label
_atom_site_type_symbol
_atom_site_fract_x
_atom_site_fract_y
_atom_site_fract_z
_atom_site_occupancy
Ag1 Ag 0.000 0.000 0.000 1
Ag2 Ag 0.000 0.500 0.000 1
Ag3 Ag 0.434 0.250 0.176 1
Ag4 Ag 0.566 0.750 0.824 1
O1 O 0.325 0.750 0.054 1
O2 O 0.741 0.565 0.269 1
O3 O 0.741 0.935 0.269 1
O4 O 0.240 0.014 0.330 1
O5 O 0.240 0.486 0.330 1
O6 O 0.893 0.250 0.433 1
O7 O 0.107 0.750 0.567 1
O8 O 0.760 0.514 0.670 1
O9 O 0.760 0.986 0.670 1
O10 O 0.259 0.065 0.731 1
O11 O 0.259 0.435 0.731 1
O12 O 0.675 0.250 0.946 1
Te1 Te 0.479 0.750 0.320 1
Te2 Te 0.000 0.000 0.500 1
Te3 Te 0.000 0.500 0.500 1
Te4 Te 0.521 0.250 0.680 1

# 6
# CdInAs2 (PBE-GGA, relaxed)
# - Total energy: -2.978 eV per atom
# - Space group: No. 216
data_CdInAs2
_chemical_formula_sum 'Cd1 In1 As2'
_cell_length_a 5.001
_cell_length_b 5.001
_cell_length_c 5.001
_cell_angle_alpha 60.00
_cell_angle_beta 60.00
_cell_angle_gamma 60.00
_space_group_name_H-M_alt 'P 1'
_space_group_IT_number 1
loop_
_space_group_symop_operation_xyz
'x,y,z'
loop_
_atom_site_label
_atom_site_type_symbol
_atom_site_fract_x
_atom_site_fract_y
_atom_site_fract_z
_atom_site_occupancy
As1 As 0.250 0.250 0.250 1
As2 As 0.500 0.500 0.500 1
Cd1 Cd 0.750 0.750 0.750 1
In1 In 0.000 0.000 0.000 1

# 7
# HfFeReGe (PBE-GGA, relaxed)
# - Total energy: -8.620 eV per atom
# - Total magnetic moment: 3.703 μB per cell
# - Polymorph energy (0 for the lowest one): 0.277 eV per atom
# - Space group: No. 216
data_HfFeReGe
_chemical_formula_sum 'Hf1 Fe1 Re1 Ge1'
_cell_length_a 4.479
_cell_length_b 4.479
_cell_length_c 4.479
_cell_angle_alpha 60.00
_cell_angle_beta 60.00
_cell_angle_gamma 60.00
_space_group_name_H-M_alt 'P 1'
_space_group_IT_number 1
loop_
_space_group_symop_operation_xyz
'x,y,z'
loop_
_atom_site_label
_atom_site_type_symbol
_atom_site_fract_x
_atom_site_fract_y
_atom_site_fract_z
_atom_site_occupancy
Fe1 Fe 0.750 0.750 0.750 1
Ge1 Ge 0.000 0.000 0.000 1
Hf1 Hf 0.250 0.250 0.250 1
Re1 Re 0.500 0.500 0.500 1

# 8
# HoBi (PBE-GGA, relaxed)
# - Total energy: -4.914 eV per atom
# - Total magnetic moment: 0.001 μB per cell
# - Space group: No. 187
data_HoBi
_chemical_formula_sum 'Ho1 Bi1'
_cell_length_a 4.152
_cell_length_b 4.151
_cell_length_c 4.075
_cell_angle_alpha 90.00
_cell_angle_beta 90.00
_cell_angle_gamma 120.00
_space_group_name_H-M_alt 'P 1'
_space_group_IT_number 1
loop_
_space_group_symop_operation_xyz
'x,y,z'
loop_
_atom_site_label
_atom_site_type_symbol
_atom_site_fract_x
_atom_site_fract_y
_atom_site_fract_z
_atom_site_occupancy
Bi1 Bi 0.667 0.333 0.750 1
Ho1 Ho 0.333 0.667 0.250 1

Number 6 is which compound?
CdInAs2